[1]
The following is a GGA-PBE calculation of LiMgCl2 after structural relaxation, from Alexandria via LeMat-Bulk.

energy relative to the elements, uncorrected: -4.43 eV/f.u.
relative energy among the computed polymorphs: 187 meV/atom
space group: I-4m2 (119)

Unit cell a=3.7254 b=3.7254 c=16.0409 alpha=90.00 beta=90.00 gamma=90.00
With the nearest neighbours (Å) after each atom.
Positions (direct):
Li  0.0000  0.0000  0.0000  4 Cl 2.63
Li  0.5000  0.5000  0.5000  4 Cl 2.63
Mg  0.0000  0.5000  0.7500  4 Cl 2.63
Mg  0.5000  0.0000  0.2500  4 Cl 2.63
Cl  0.0000  0.0000  0.5000  4 Li 2.63
Cl  0.0000  0.5000  0.2500  4 Mg 2.63
Cl  0.5000  0.0000  0.7500  4 Mg 2.63
Cl  0.5000  0.5000  0.0000  4 Li 2.63

=====

[2]
The following is a GGA-PBE calculation of As2OsSe after structural relaxation, from Alexandria via LeMat-Bulk.

energy relative to the elements, uncorrected: 2.88 eV/f.u.
relative energy among the computed polymorphs: 624 meV/atom
space group: Cmmm (65)

Unit cell a=5.6913 b=7.5134 c=3.1978 alpha=90.00 beta=90.00 gamma=90.00
With the nearest neighbours (Å) after each atom.
Positions (direct):
As  0.2500  0.2500  0.0000  2 As 2.85, 4 Se 2.85, 4 Os 2.85
As  0.2500  0.7500  0.0000  2 As 2.85, 4 Se 2.85, 4 Os 2.85
As  0.7500  0.2500  0.0000  2 As 2.85, 4 Se 2.85, 4 Os 2.85
As  0.7500  0.7500  0.0000  2 As 2.85, 4 Se 2.85, 4 Os 2.85
Os  0.0000  0.0000  0.5000  2 Se 2.85, 8 As 2.85
Os  0.5000  0.5000  0.5000  2 Se 2.85, 8 As 2.85
Se  0.0000  0.5000  0.5000  2 Os 2.85, 8 As 2.85
Se  0.5000  0.0000  0.5000  2 Os 2.85, 8 As 2.85

=====

[3]
The following is a GGA-PBE calculation of YSi2 after structural relaxation, from Alexandria via LeMat-Bulk.

energy relative to the elements, uncorrected: -1.44 eV/f.u.
space group: I4_1/amd (141)

Unit cell a=17.0742 b=17.0742 c=17.0742 alpha=167.24 beta=167.24 gamma=18.08
With the nearest neighbours (Å) after each atom.
Positions (direct):
Y  0.3051  0.5551  0.7500  10 Si 2.92-3.18
Y  0.4449  0.6949  0.7500  10 Si 2.92-3.18
Y  0.5551  0.3051  0.2500  10 Si 2.92-3.18
Y  0.6949  0.4449  0.2500  10 Si 2.92-3.18
Si  0.0206  0.7706  0.2500  2 Si 2.35
Si  0.1227  0.3727  0.7500  4 Si 2.69, 2 Y 2.96
Si  0.2294  0.9794  0.2500  2 Si 2.35
Si  0.3727  0.1227  0.2500  4 Si 2.69, 2 Y 2.96
Si  0.6273  0.8773  0.7500  4 Si 2.69, 2 Y 2.96
Si  0.7706  0.0206  0.7500  2 Si 2.35
Si  0.8773  0.6273  0.2500  4 Si 2.69, 2 Y 2.96
Si  0.9794  0.2294  0.7500  2 Si 2.35

=====

[4]
The following is a GGA-PBE calculation of SmPaTi2O8 after structural relaxation, from Alexandria via LeMat-Bulk.

energy relative to the elements, uncorrected: -39.90 eV/f.u.
space group: I-4 (82)

Unit cell a=6.6808 b=6.6808 c=6.6808 alpha=134.29 beta=134.29 gamma=66.64
With the nearest neighbours (Å) after each atom.
Positions (direct):
Sm  0.0000  0.0000  0.0000  8 O 2.38-2.45
Pa  0.7500  0.2500  0.5000  8 O 2.27-2.35
Ti  0.2500  0.7500  0.5000  4 O 1.86
Ti  0.5000  0.5000  0.0000  4 O 1.86
O  0.0694  0.6538  0.0634  1 Ti 1.86
O  0.1548  0.2504  0.5825  1 Ti 1.86
O  0.3462  0.4096  0.4155  1 Ti 1.86
O  0.4277  0.8452  0.0955  1 Ti 1.86
O  0.5904  0.0059  0.9366  1 Ti 1.86
O  0.6679  0.5723  0.4175  1 Ti 1.86
O  0.7496  0.3321  0.9045  1 Ti 1.86
O  0.9941  0.9306  0.5845  1 Ti 1.86

=====

[5]
The following is a GGA-PBE calculation of La2Sm3Er7 after structural relaxation, from Alexandria via LeMat-Bulk.

DFT formation energy: 116.5 meV/atom
relative energy among the computed polymorphs: 24 meV/atom
space group: Cmmm (65)

Unit cell a=19.3857 b=19.3857 c=3.6113 alpha=90.00 beta=90.00 gamma=163.06
With the nearest neighbours (Å) after each atom.
Positions (direct):
La  0.1466  0.8534  0.0000  3 Er 3.22-3.45
La  0.8534  0.1466  0.0000  3 Er 3.22-3.45
Sm  0.3127  0.6872  0.5000  2 Sm 3.61, 6 Er 3.64-3.76, 4 La 3.72
Sm  0.5000  0.5000  0.5000  4 Er 3.38, 2 Sm 3.61
Sm  0.6872  0.3127  0.5000  2 Sm 3.61, 6 Er 3.64-3.76, 4 La 3.72
Er  0.0000  0.0000  0.0000  6 Er 3.24-3.61, 4 Sm 3.38
Er  0.0700  0.9300  0.5000  8 Er 3.24-3.61, 2 La 3.45
Er  0.2304  0.7696  0.0000  1 La 3.22, 2 Er 3.23
Er  0.4120  0.5880  0.0000  6 Er 3.45-3.61, 2 La 3.63, 2 Sm 3.83
Er  0.5880  0.4120  0.0000  6 Er 3.45-3.61, 2 La 3.63, 2 Sm 3.83
Er  0.7696  0.2304  0.0000  1 La 3.22, 2 Er 3.23
Er  0.9300  0.0700  0.5000  8 Er 3.24-3.61, 2 La 3.45

=====

[6]
The following is a GGA-PBE calculation of NbFe2Se after structural relaxation, from Alexandria via LeMat-Bulk.

energy relative to the elements, uncorrected: 2.72 eV/f.u.
space group: I-42d (122)

Unit cell a=5.2663 b=5.2663 c=10.9176 alpha=90.00 beta=90.00 gamma=90.00
With the nearest neighbours (Å) after each atom.
Positions (direct):
Nb  0.0000  0.0000  0.0000  4 Fe 2.38
Nb  0.0000  0.5000  0.2500  4 Fe 2.38
Nb  0.5000  0.0000  0.7500  4 Fe 2.38
Nb  0.5000  0.5000  0.5000  4 Fe 2.38
Fe  0.2280  0.2500  0.6250  2 Se 2.24, 2 Nb 2.38
Fe  0.2500  0.7280  0.8750  2 Se 2.24, 2 Nb 2.38
Fe  0.2500  0.7720  0.3750  2 Se 2.24, 2 Nb 2.38
Fe  0.2720  0.2500  0.1250  2 Se 2.24, 2 Nb 2.38
Fe  0.7280  0.7500  0.1250  2 Se 2.24, 2 Nb 2.38
Fe  0.7500  0.2280  0.3750  2 Se 2.24, 2 Nb 2.38
Fe  0.7500  0.2720  0.8750  2 Se 2.24, 2 Nb 2.38
Fe  0.7720  0.7500  0.6250  2 Se 2.24, 2 Nb 2.38
Se  0.0000  0.0000  0.5000  4 Fe 2.24
Se  0.0000  0.5000  0.7500  4 Fe 2.24
Se  0.5000  0.0000  0.2500  4 Fe 2.24
Se  0.5000  0.5000  0.0000  4 Fe 2.24

=====

Number 1: electronic total energy -23.26 eV per cell. Number 2: electronic total energy -42.26 eV per cell. Number 3: electronic total energy -75.02 eV per cell. Number 4: electronic total energy -109.57 eV per cell. Number 5: electronic total energy -54.55 eV per cell. Number 6: electronic total energy -111.05 eV per cell.